No. 1
# Na2Ag4Sb5 (PBE, relaxed)
data_Na2Ag4Sb5
_cell_length_a 7.467
_cell_length_b 7.467
_cell_length_c 7.467
_cell_angle_alpha 131.27
_cell_angle_beta 105.23
_cell_angle_gamma 94.46
_space_group_name_H-M_alt 'P 1'
_space_group_IT_number 1
_space_group_name_Hall 'P 1'
loop_
_atom_site_label
_atom_site_type_symbol
_atom_site_fract_x
_atom_site_fract_y
_atom_site_fract_z
Na1 Na 0.185 0.000 0.185
Na2 Na 0.815 0.000 0.815
Ag1 Ag 0.041 0.309 0.732
Ag2 Ag 0.423 0.691 0.732
Ag3 Ag 0.577 0.309 0.268
Ag4 Ag 0.959 0.691 0.268
Sb1 Sb 0.000 0.500 0.500
Sb2 Sb 0.347 0.091 0.744
Sb3 Sb 0.347 0.603 0.256
Sb4 Sb 0.653 0.397 0.744
Sb5 Sb 0.653 0.909 0.256
# Calculated volume ... 283.32 Å³/cell
# Electronic total energy ... -3.19 eV/atom
# Energy relative to the elements, uncorrected ... -0.036 eV/atom

---

No. 2
# TlFeBiCl6 (PBE, relaxed)
data_TlFeBiCl6
_cell_length_a 6.861
_cell_length_b 6.861
_cell_length_c 7.005
_cell_angle_alpha 90.10
_cell_angle_beta 90.10
_cell_angle_gamma 120.06
_space_group_name_H-M_alt 'P 1'
_space_group_IT_number 1
_space_group_name_Hall 'P 1'
loop_
_atom_site_label
_atom_site_type_symbol
_atom_site_fract_x
_atom_site_fract_y
_atom_site_fract_z
Tl1 Tl 0.000 0.000 0.000
Fe1 Fe 0.334 0.666 0.500
Bi1 Bi 0.667 0.333 0.500
Cl1 Cl 0.027 0.384 0.709
Cl2 Cl 0.028 0.640 0.290
Cl3 Cl 0.360 0.972 0.710
Cl4 Cl 0.362 0.388 0.288
Cl5 Cl 0.612 0.638 0.712
Cl6 Cl 0.616 0.973 0.291
# Calculated volume ... 285.39 Å³/cell
# Electronic total energy ... -3.77 eV/atom
# Energy relative to the elements, uncorrected ... -0.904 eV/atom

---

No. 3
# ZrNpSc2P4 (PBE, relaxed)
data_ZrNpSc2P4
_cell_length_a 6.554
_cell_length_b 3.806
_cell_length_c 6.590
_cell_angle_alpha 90.00
_cell_angle_beta 109.35
_cell_angle_gamma 90.00
_space_group_name_H-M_alt 'P 1'
_space_group_IT_number 1
_space_group_name_Hall 'P 1'
loop_
_atom_site_label
_atom_site_type_symbol
_atom_site_fract_x
_atom_site_fract_y
_atom_site_fract_z
Zr1 Zr 0.000 0.000 0.000
Np1 Np 0.000 0.500 0.500
Sc1 Sc 0.500 0.000 0.500
Sc2 Sc 0.500 0.500 0.000
P1 P 0.253 0.500 0.247
P2 P 0.257 0.000 0.758
P3 P 0.743 0.000 0.242
P4 P 0.747 0.500 0.753
# Calculated formation energy ... -126.8 kJ/mol of atoms
# Calculated volume ... 155.11 Å³/cell
# Electronic total energy ... -8.29 eV/atom

---

No. 4
# Nb2MoAu (PBE, relaxed)
data_Nb2MoAu
_cell_length_a 3.322
_cell_length_b 3.322
_cell_length_c 6.369
_cell_angle_alpha 90.00
_cell_angle_beta 90.00
_cell_angle_gamma 90.00
_space_group_name_H-M_alt 'P 1'
_space_group_IT_number 1
_space_group_name_Hall 'P 1'
loop_
_atom_site_label
_atom_site_type_symbol
_atom_site_fract_x
_atom_site_fract_y
_atom_site_fract_z
Nb1 Nb 0.000 0.000 0.233
Nb2 Nb 0.000 0.000 0.767
Mo1 Mo 0.500 0.500 0.000
Au1 Au 0.500 0.500 0.500
# Calculated formation energy ... -7.0 kJ/mol of atoms
# Calculated volume ... 70.28 Å³/cell
# Electronic total energy ... -8.63 eV/atom
# ΔE to the lowest computed polymorph ... 0 meV/atom

---

No. 5
# Mg2Co2Ag (PBE, relaxed)
data_Mg2Co2Ag
_cell_length_a 6.789
_cell_length_b 6.789
_cell_length_c 3.458
_cell_angle_alpha 90.00
_cell_angle_beta 90.00
_cell_angle_gamma 90.00
_space_group_name_H-M_alt 'P 1'
_space_group_IT_number 1
_space_group_name_Hall 'P 1'
loop_
_atom_site_label
_atom_site_type_symbol
_atom_site_fract_x
_atom_site_fract_y
_atom_site_fract_z
Mg1 Mg 0.178 0.322 0.000
Mg2 Mg 0.322 0.822 0.000
Mg3 Mg 0.678 0.178 0.000
Mg4 Mg 0.822 0.678 0.000
Co1 Co 0.114 0.614 0.500
Co2 Co 0.386 0.114 0.500
Co3 Co 0.614 0.886 0.500
Co4 Co 0.886 0.386 0.500
Ag1 Ag 0.000 0.000 0.500
Ag2 Ag 0.500 0.500 0.500
# Calculated formation energy ... 16.3 kJ/mol of atoms
# Calculated volume ... 159.37 Å³/cell
# Electronic total energy ... -3.88 eV/atom

---

No. 6
# SrCa2Rh2 (PBE, relaxed)
data_SrCa2Rh2
_cell_length_a 6.418
_cell_length_b 6.418
_cell_length_c 6.418
_cell_angle_alpha 133.48
_cell_angle_beta 133.48
_cell_angle_gamma 67.90
_space_group_name_H-M_alt 'P 1'
_space_group_IT_number 1
_space_group_name_Hall 'P 1'
loop_
_atom_site_label
_atom_site_type_symbol
_atom_site_fract_x
_atom_site_fract_y
_atom_site_fract_z
Sr1 Sr 0.000 0.000 0.000
Ca1 Ca 0.343 0.343 0.000
Ca2 Ca 0.657 0.657 0.000
Rh1 Rh 0.250 0.750 0.500
Rh2 Rh 0.750 0.250 0.500
# Calculated formation energy ... -5.7 kJ/mol of atoms
# Calculated volume ... 136.81 Å³/cell
# Electronic total energy ... -4.14 eV/atom
# ΔE to the lowest computed polymorph ... 184 meV/atom

---

No. 7
# BaBi2Pd3 (PBE, relaxed)
data_BaBi2Pd3
_cell_length_a 9.403
_cell_length_b 9.403
_cell_length_c 8.015
_cell_angle_alpha 115.17
_cell_angle_beta 115.17
_cell_angle_gamma 29.26
_space_group_name_H-M_alt 'P 1'
_space_group_IT_number 1
_space_group_name_Hall 'P 1'
loop_
_atom_site_label
_atom_site_type_symbol
_atom_site_fract_x
_atom_site_fract_y
_atom_site_fract_z
Ba1 Ba 0.150 0.150 0.217
Ba2 Ba 0.850 0.850 0.783
Bi1 Bi 0.178 0.178 0.706
Bi2 Bi 0.469 0.469 0.158
Bi3 Bi 0.531 0.531 0.842
Bi4 Bi 0.822 0.822 0.294
Pd1 Pd 0.016 0.016 0.679
Pd2 Pd 0.303 0.303 0.072
Pd3 Pd 0.412 0.412 0.467
Pd4 Pd 0.588 0.588 0.533
Pd5 Pd 0.697 0.697 0.928
Pd6 Pd 0.984 0.984 0.321
# Calculated formation energy ... -47.3 kJ/mol of atoms
# Calculated volume ... 311.12 Å³/cell
# Electronic total energy ... -4.70 eV/atom
# ΔE to the lowest computed polymorph ... 36 meV/atom

---

No. 8
# Zr4ZnCo (PBE, relaxed)
data_Zr4ZnCo
_cell_length_a 6.617
_cell_length_b 6.617
_cell_length_c 5.324
_cell_angle_alpha 90.00
_cell_angle_beta 90.00
_cell_angle_gamma 90.00
_space_group_name_H-M_alt 'P 1'
_space_group_IT_number 1
_space_group_name_Hall 'P 1'
loop_
_atom_site_label
_atom_site_type_symbol
_atom_site_fract_x
_atom_site_fract_y
_atom_site_fract_z
Zr1 Zr 0.149 0.326 0.000
Zr2 Zr 0.149 0.674 0.500
Zr3 Zr 0.326 0.149 0.500
Zr4 Zr 0.326 0.851 0.000
Zr5 Zr 0.674 0.149 0.000
Zr6 Zr 0.674 0.851 0.500
Zr7 Zr 0.851 0.326 0.500
Zr8 Zr 0.851 0.674 0.000
Zn1 Zn 0.500 0.500 0.250
Zn2 Zn 0.500 0.500 0.750
Co1 Co 0.000 0.000 0.250
Co2 Co 0.000 0.000 0.750
# Calculated formation energy ... -19.8 kJ/mol of atoms
# Calculated volume ... 233.13 Å³/cell
# Electronic total energy ... -7.30 eV/atom
# ΔE to the lowest computed polymorph ... 0 meV/atom